! HoAlNi2H (PBE, relaxed); values from VASP
! Total moment in μB per cell: 0.00
! SG: Cmcm, No. 63
! Raw total energy in eV/atom: -5.188
&SYSTEM
  ibrav = 0, nat = 10, ntyp = 4
/
ATOMIC_SPECIES
Ho 164.93 Ho.upf
Al 26.98 Al.upf
Ni 58.69 Ni.upf
H 1.01 H.upf
ATOMIC_POSITIONS angstrom
Ho -1.531 -2.741 6.220
Ho -1.185 -2.219 0.631
Al -2.988 -3.544 3.810
Al 0.272 -1.416 3.041
Ni -4.373 -1.886 4.816
Ni 1.657 -3.074 2.035
Ni -2.178 -1.359 3.313
Ni -0.538 -3.601 3.538
H 0.000 0.000 0.000
H -2.816 -0.676 1.928
CELL_PARAMETERS angstrom
-0.246 -3.318 -1.523
3.162 -0.290 4.518
-5.633 -1.352 3.856